A geometry-optimized La2PmH4 structure, computed with PBE-GGA.

Cell: 4.206 4.206 13.703 Å, 90.00 90.00 90.00°
Space group I4/mmm (No. 139)
Symmetry-distinct sites (fractional):
La 0.000 0.000 0.163
Pm 0.000 0.000 0.500
H 0.000 0.000 0.333
H 0.000 0.500 0.000

Values from the calculation:
Size of the total moment in μB per atom: 0.00
Theoretical density in g cm⁻³: 5.85
DOS at the Fermi energy in states/eV per cell: 10.1
Energy in eV per formula unit: -29.89